K2AlZnF6 | PBE | optimized geometry

Summary:
Formation energy (no corrections) (kJ per mole of atoms): -268.0

Unit cell a=5.9572 b=8.4333 c=5.9660 alpha=90.00 beta=90.00 gamma=90.00
Space group Pmmn (No. 59, origin choice 2)
Symmetry-distinct sites (fractional):
K: 0.2500 0.0001 0.2498
Al: 0.2500 0.2500 0.7493
Zn: 0.2500 0.7500 0.7501
F: 0.0311 0.2500 0.5308
F: 0.0311 0.2500 0.9677
F: 0.2500 0.0314 0.7492

=====

K2AlZn3F12 | PBE | optimized geometry

Summary:
Formation energy (no corrections) (kJ per mole of atoms): -252.2

Unit cell a=7.2123 b=7.2123 c=17.9494 alpha=90.00 beta=90.00 gamma=120.00
Space group R-3m (No. 166, hexagonal axes)
Symmetry-distinct sites (fractional):
K: 0.0000 0.0000 0.1284
Al: 0.0000 0.0000 0.5000
Zn: 0.0000 0.5000 0.0000
F: 0.0662 0.5331 0.3636
F: 0.0904 0.5452 0.1102

=====

KAlZn2F8 | PBE | optimized geometry

Summary:
Formation energy (no corrections) (kJ per mole of atoms): -257.8

Unit cell a=4.9713 b=4.9713 c=25.8211 alpha=90.00 beta=90.00 gamma=120.00
Space group R32 (No. 155, hexagonal axes)
Symmetry-distinct sites (fractional):
K: 0.0000 0.0000 0.0000
Al: 0.0000 0.0000 0.5000
Zn: 0.0000 0.0000 0.2405
F: 0.0000 0.0000 0.3127
F: 0.0110 0.2932 0.5461

=====

> Look up the formation energy (no corrections) of the first one.

-268.0 kJ per mole of atoms